1) This record from Alexandria via LeMat-Bulk describes crystalline AlGa4Ir at its relaxed geometry. The functional is GGA-PBE.

The structure in extended XYZ format:
```
12
Lattice="5.2553 0.0000 0.0000 0.0000 6.4610 0.0000 0.0000 0.0000 6.0745" Properties=species:S:1:pos:R:3 pbc="T T T"
Al 0.0000 0.0000 0.0000
Al 2.6277 0.0000 3.0373
Ga 1.6364 1.6357 1.1751
Ga 1.6364 4.8253 4.8994
Ga 3.6189 1.6357 4.8994
Ga 3.6189 4.8253 1.1751
Ga 4.0866 4.3176 4.0488
Ga 4.0866 2.1434 2.0257
Ga 1.1688 4.3176 2.0257
Ga 1.1688 2.1434 4.0488
Ir 0.0000 3.2305 0.0000
Ir 0.0000 0.0000 3.0373
```

Properties
Crystal system   orthorhombic
Volume   17.2 A^3/atom
SG   P222, No. 16
Density of states at the Fermi level   0.364 states/eV/atom



2) This record from Alexandria via LeMat-Bulk describes crystalline AlGa4Ir at its relaxed geometry. The functional is GGA-PBE.

The structure in extended XYZ format:
```
12
Lattice="5.7595 0.0000 -2.9380 -1.4987 5.5611 -2.9380 -0.2144 -0.2799 6.6940" Properties=species:S:1:pos:R:3 pbc="T T T"
Al 2.1304 2.7805 -2.9380
Al 0.0000 0.0000 0.0000
Ga 1.2806 5.4300 -2.4773
Ga 4.4617 4.3118 -3.3555
Ga 0.8718 2.6494 -0.4175
Ga 3.1745 2.6318 1.2355
Ga -0.4153 0.9695 4.1735
Ga 2.7658 -0.1488 3.2953
Ga -0.0066 3.7500 2.1138
Ga 4.0529 1.5312 -1.2957
Ir 0.9580 1.2503 1.8780
Ir 3.0884 4.0309 -1.0600
```

Properties
Crystal system   tetragonal
Volume   17.1 A^3/atom
SG   I4/mcm, No. 140
Density of states at the Fermi level   0.477 states/eV/atom



Stability ranking, top and bottom: 2) is the most stable and 1) is the least stable.